This record from the Alexandria database describes Sr2H6Os at its PBEsol-relaxed geometry. The functional is meta-GGA SCAN.

Summary:
calculated total energy	-15.941	eV/atom

Cell lengths 7.4986, 7.4986, 7.4986 Å; angles 90.00, 90.00, 90.00 degrees
Closest atoms and distances in Å follow each position.
Space group Fm-3m (No. 225)
Asymmetric unit:
Sr 0.2500 0.2500 0.2500 [8 per cell]  12 H 2.66
H 0.0000 0.0000 0.2302 [24 per cell]  1 Os 1.73
Os 0.0000 0.0000 0.0000 [4 per cell]  6 H 1.73